Computed, not measured: a relaxed structure of La2LuMg at the PBE-GGA level of DFT.

Cell: 3.5039 3.5039 37.9398 Å, 90.00 90.00 120.00°
Space group R-3m (No. 166, hexagonal axes)
One atom of each set of equivalent atoms:
La  0.0000  0.0000  0.0900 (multiplicity 6)
Lu  0.0000  0.0000  0.5000 (multiplicity 3)
Mg  0.0000  0.0000  0.0000 (multiplicity 3)

## Properties
density of states at the Fermi level: 5.09 states/eV/f.u.
crystal system: trigonal
energy above the lowest structure with this stoichiometry: 206 meV/atom


Computed, not measured: a relaxed structure of PtPb2 at the PBE-GGA level of DFT.

Cell: 7.067 7.067 5.854 Å, 90.00 90.00 90.00°
Space group I4/mcm (No. 140)
One atom of each set of equivalent atoms:
Pt  0.000  0.000  0.250 (multiplicity 4)
Pb  0.161  0.339  0.000 (multiplicity 8)

## Properties
total energy: -0.171 hartree per atom
density of states at the Fermi level: 1.49 states/eV/f.u.
crystal system: tetragonal


Computed, not measured: a relaxed structure of LiMgAsSe2 at the PBE-GGA level of DFT.

Cell: 5.157 5.157 4.943 Å, 90.00 90.00 90.00°
Space group P4/mmm (No. 123)
One atom of each set of equivalent atoms:
Li  0.000  0.000  0.000 (multiplicity 1)
Mg  0.500  0.500  0.500 (multiplicity 1)
As  0.500  0.500  0.000 (multiplicity 1)
Se  0.000  0.500  0.500 (multiplicity 2)

## Properties
density of states at the Fermi level: 4.47 states/eV/f.u.
crystal system: tetragonal
energy above the lowest structure with this stoichiometry: 0 meV/atom
formation energy (no corrections): 3 meV per atom


Number 1: V 403 Å³ per cell. Number 2: V 292 Å³ per cell. Number 3: V 131 Å³ per cell.